No. 1
Density functional theory data (PBE) for crystalline BaOsNF2 at its relaxed geometry.

Summary:
uncorrected energy: -4.5945 eV/atom
raw formation energy: 10.37 kcal/mol of atoms
DOS at the Fermi energy: 1.941 states/eV per cell
crystal system: tetragonal
energy above the lowest structure with this stoichiometry: 163.9 kJ per mole of atoms
symmetry: P4/mmm

Lattice parameters (Å, degrees): 4.817 4.817 5.593 90.00 90.00 90.00
Site moments in Bohr magnetons follow the coordinates.
Atoms (fractional coordinates):
N: 0.000 0.000 0.500  1.55
Os: 0.500 0.500 0.500  3.81
Ba: 0.000 0.000 0.000  0.05
F: 0.000 0.500 0.000  0.04
F: 0.500 0.000 0.000  0.04



No. 2
Density functional theory data (PBE) for crystalline BaOs2NF at its relaxed geometry.

Summary:
uncorrected energy: -3.8199 eV/atom
raw formation energy: 71.39 kcal/mol of atoms
DOS at the Fermi energy: 4.714 states/eV per cell
crystal system: tetragonal
symmetry: P4/mmm

Lattice parameters (Å, degrees): 6.184 4.564 6.184 90.00 90.00 90.00
Site moments in Bohr magnetons follow the coordinates.
Atoms (fractional coordinates):
N: 0.000 0.500 0.000  0.59
Os: 0.000 0.000 0.500  3.20
Os: 0.500 0.000 0.000  3.53
Ba: 0.000 0.000 0.000  -0.04
F: 0.500 0.500 0.500  0.22



No. 3
Density functional theory data (PBE) for crystalline BaOsN2F at its relaxed geometry.

Summary:
uncorrected energy: -7.1085 eV/atom
raw formation energy: -17.84 kcal/mol of atoms
DOS at the Fermi energy: 1.947 states/eV per cell
crystal system: tetragonal
energy above the lowest structure with this stoichiometry: 0.0 kJ per mole of atoms
symmetry: P4/mmm

Lattice parameters (Å, degrees): 3.874 3.874 5.069 90.00 90.00 90.00
Atoms (fractional coordinates):
N: 0.000 0.500 0.000
N: 0.500 0.000 0.000
Os: 0.000 0.000 0.000
Ba: 0.500 0.500 0.500
F: 0.000 0.000 0.500



No. 4
Density functional theory data (PBE) for crystalline Ba6P2NF at its relaxed geometry.

Summary:
uncorrected energy: -4.3100 eV/atom
raw formation energy: -24.32 kcal/mol of atoms
DOS at the Fermi energy: 3.856 states/eV per cell
crystal system: monoclinic
symmetry: C2/m

Lattice parameters (Å, degrees): 7.092 7.460 7.753 118.76 108.25 90.00
Atoms (fractional coordinates):
Ba: 0.334 0.697 0.394
Ba: 0.190 0.177 0.848
Ba: 0.810 0.329 0.152
Ba: 0.190 0.671 0.848
Ba: 0.810 0.823 0.152
Ba: 0.666 0.303 0.606
P: 0.181 0.215 0.431
P: 0.819 0.785 0.569
N: 0.000 0.500 0.000
F: 0.500 0.000 0.000



No. 5
Density functional theory data (PBE) for crystalline BaPNF2 at its relaxed geometry.

Summary:
uncorrected energy: -4.1816 eV/atom
raw formation energy: -6.95 kcal/mol of atoms
DOS at the Fermi energy: 1.449 states/eV per cell
crystal system: tetragonal
energy above the lowest structure with this stoichiometry: 116.0 kJ per mole of atoms
symmetry: P4/mmm

Lattice parameters (Å, degrees): 4.932 4.932 6.169 90.00 90.00 90.00
Site moments in Bohr magnetons follow the coordinates.
Atoms (fractional coordinates):
P: 0.500 0.500 0.500  -0.25
N: 0.000 0.000 0.500  1.72
Ba: 0.000 0.000 0.000  0.02
F: 0.000 0.500 0.000  0.01
F: 0.500 0.000 0.000  0.01



No. 6
Density functional theory data (PBE) for crystalline BaPNF2 at its relaxed geometry.

Summary:
uncorrected energy: -5.3834 eV/atom
raw formation energy: -34.67 kcal/mol of atoms
DOS at the Fermi energy: 0.865 states/eV per cell
crystal system: tetragonal
energy above the lowest structure with this stoichiometry: 0.0 kJ per mole of atoms
symmetry: P4/mmm

Lattice parameters (Å, degrees): 4.672 4.672 3.577 90.00 90.00 90.00
Atoms (fractional coordinates):
P: 0.000 0.000 0.000
N: 0.000 0.000 0.500
Ba: 0.500 0.500 0.500
F: 0.000 0.500 0.000
F: 0.500 0.000 0.000



No. 7
Density functional theory data (PBE) for crystalline BaPN2F at its relaxed geometry.

Summary:
uncorrected energy: -4.1132 eV/atom
raw formation energy: 24.39 kcal/mol of atoms
DOS at the Fermi energy: 1.372 states/eV per cell
crystal system: tetragonal
energy above the lowest structure with this stoichiometry: 170.0 kJ per mole of atoms
symmetry: P4/mmm

Lattice parameters (Å, degrees): 5.552 5.552 4.917 90.00 90.00 90.00
Site moments in Bohr magnetons follow the coordinates.
Atoms (fractional coordinates):
P: 0.500 0.500 0.500  -1.12
N: 0.000 0.500 0.000  1.49
N: 0.500 0.000 0.000  1.49
Ba: 0.000 0.000 0.000  0.04
F: 0.000 0.000 0.500  -0.01



No. 8
Density functional theory data (PBE) for crystalline BaPN2F at its relaxed geometry.

Summary:
uncorrected energy: -5.8754 eV/atom
raw formation energy: -16.24 kcal/mol of atoms
DOS at the Fermi energy: 2.119 states/eV per cell
crystal system: tetragonal
energy above the lowest structure with this stoichiometry: 0.0 kJ per mole of atoms
symmetry: P4/mmm

Lattice parameters (Å, degrees): 3.665 3.665 4.965 90.00 90.00 90.00
Atoms (fractional coordinates):
P: 0.000 0.000 0.000
N: 0.000 0.500 0.000
N: 0.500 0.000 0.000
Ba: 0.500 0.500 0.500
F: 0.000 0.000 0.500